[1]
DFT (PBE-GGA) results for U2B6Mo after structural relaxation.

SG: Pbam (55)
Total DFT energy (no corrections) in eV/cell: -314.43

Cell lengths 9.251, 11.340, 3.692 Å; angles 90.00, 90.00, 90.00 degrees
Sites, in units of the cell vectors:
U  0.044  0.106  0.000
U  0.165  0.408  0.000
U  0.335  0.908  0.000
U  0.456  0.606  0.000
U  0.544  0.394  0.000
U  0.665  0.092  0.000
U  0.835  0.592  0.000
U  0.956  0.894  0.000
B  0.015  0.282  0.500
B  0.050  0.567  0.500
B  0.142  0.961  0.500
B  0.144  0.813  0.500
B  0.196  0.228  0.500
B  0.244  0.576  0.500
B  0.256  0.076  0.500
B  0.304  0.728  0.500
B  0.356  0.313  0.500
B  0.358  0.461  0.500
B  0.450  0.067  0.500
B  0.485  0.782  0.500
B  0.515  0.218  0.500
B  0.550  0.933  0.500
B  0.642  0.539  0.500
B  0.644  0.687  0.500
B  0.696  0.272  0.500
B  0.744  0.924  0.500
B  0.756  0.424  0.500
B  0.804  0.772  0.500
B  0.856  0.187  0.500
B  0.858  0.039  0.500
B  0.950  0.433  0.500
B  0.985  0.718  0.500
Mo  0.145  0.680  0.000
Mo  0.355  0.180  0.000
Mo  0.645  0.820  0.000
Mo  0.855  0.320  0.000

---

[2]
DFT (PBE-GGA) results for UB7Mo3 after structural relaxation.

SG: Pnma (62)
Total DFT energy (no corrections) in eV/cell: -385.69

Cell lengths 11.059, 3.087, 12.796 Å; angles 90.00, 90.00, 90.00 degrees
Sites, in units of the cell vectors:
U  0.051  0.250  0.194
U  0.449  0.750  0.694
U  0.551  0.250  0.306
U  0.949  0.750  0.806
B  0.010  0.750  0.362
B  0.036  0.750  0.018
B  0.067  0.750  0.616
B  0.166  0.750  0.331
B  0.184  0.750  0.070
B  0.232  0.750  0.584
B  0.247  0.250  0.326
B  0.253  0.750  0.826
B  0.268  0.250  0.084
B  0.316  0.250  0.570
B  0.334  0.250  0.831
B  0.433  0.250  0.116
B  0.464  0.250  0.518
B  0.490  0.250  0.862
B  0.510  0.750  0.138
B  0.536  0.750  0.482
B  0.567  0.750  0.884
B  0.666  0.750  0.169
B  0.684  0.750  0.430
B  0.732  0.750  0.916
B  0.747  0.250  0.174
B  0.753  0.750  0.674
B  0.768  0.250  0.416
B  0.816  0.250  0.930
B  0.834  0.250  0.669
B  0.933  0.250  0.384
B  0.964  0.250  0.982
B  0.990  0.250  0.638
Mo  0.116  0.250  0.473
Mo  0.160  0.250  0.937
Mo  0.183  0.250  0.705
Mo  0.317  0.750  0.205
Mo  0.340  0.750  0.437
Mo  0.384  0.750  0.973
Mo  0.616  0.250  0.027
Mo  0.660  0.250  0.563
Mo  0.683  0.250  0.795
Mo  0.817  0.750  0.295
Mo  0.840  0.750  0.063
Mo  0.884  0.750  0.527

---

[3]
DFT (PBE-GGA) results for UB4Mo after structural relaxation.

SG: Cmmm (65)
Total DFT energy (no corrections) in eV/cell: -104.10

Cell lengths 5.934, 5.934, 3.662 Å; angles 90.00, 90.00, 103.80 degrees
Sites, in units of the cell vectors:
U  0.199  0.801  0.000
U  0.801  0.199  0.000
B  0.116  0.436  0.500
B  0.120  0.120  0.500
B  0.407  0.593  0.500
B  0.436  0.116  0.500
B  0.564  0.884  0.500
B  0.593  0.407  0.500
B  0.880  0.880  0.500
B  0.884  0.564  0.500
Mo  0.317  0.317  0.000
Mo  0.683  0.683  0.000

---

[4]
DFT (PBE-GGA) results for UB4Mo after structural relaxation.

SG: Pbam (55)
Total DFT energy (no corrections) in eV/cell: -208.17

Cell lengths 5.941, 11.430, 3.670 Å; angles 90.00, 90.00, 90.00 degrees
Sites, in units of the cell vectors:
U  0.128  0.150  0.000
U  0.372  0.650  0.000
U  0.628  0.350  0.000
U  0.872  0.850  0.000
B  0.025  0.693  0.500
B  0.115  0.548  0.500
B  0.132  0.968  0.500
B  0.207  0.812  0.500
B  0.293  0.312  0.500
B  0.368  0.468  0.500
B  0.385  0.048  0.500
B  0.475  0.193  0.500
B  0.525  0.807  0.500
B  0.615  0.952  0.500
B  0.632  0.532  0.500
B  0.707  0.688  0.500
B  0.793  0.188  0.500
B  0.868  0.032  0.500
B  0.885  0.452  0.500
B  0.975  0.307  0.500
Mo  0.138  0.408  0.000
Mo  0.362  0.908  0.000
Mo  0.638  0.092  0.000
Mo  0.862  0.592  0.000

---

[5]
DFT (PBE-GGA) results for UBMo after structural relaxation.

Excess energy over the best structure of this formula in the dataset in kJ/mol of formula units: 0
SG: F-43m (216)

Cell lengths 4.106, 4.106, 4.106 Å; angles 60.00, 60.00, 60.00 degrees
Sites, in units of the cell vectors:
U  0.000  0.000  0.000
B  0.750  0.750  0.750
Mo  0.500  0.500  0.500

---

[6]
DFT (PBE-GGA) results for B4MoW after structural relaxation.

SG: P6/mmm (191)
Total DFT energy (no corrections) in eV/cell: -51.61

Cell lengths 3.025, 3.025, 6.699 Å; angles 90.00, 90.00, 120.00 degrees
Sites, in units of the cell vectors:
B  0.333  0.667  0.249
B  0.333  0.667  0.751
B  0.667  0.333  0.249
B  0.667  0.333  0.751
Mo  0.000  0.000  0.500
W  0.000  0.000  0.000